1.
5
Lattice="4.6016 0.0000 0.0000 0.0000 5.0946 0.0000 0.0000 0.0000 5.0946" Properties=species:S:1:pos:R:3 comment="ZnRuSeBr2 (PBEsol, relaxed)" formation_energy_uncorrected_ev_per_atom=0.270 sg="P4/mmm, No. 123" pbc="T T T"
Se 2.3008 0.0000 0.0000
Zn 2.3008 2.5473 2.5473
Br 0.0000 0.0000 2.5473
Ru 0.0000 0.0000 0.0000
Br 0.0000 2.5473 0.0000


2.
5
Lattice="-4.1039 -0.1776 -1.6743 0.8936 -3.9684 -1.7692 -1.4271 -1.9741 3.7072" Properties=species:S:1:pos:R:3 comment="SiRu3Br (PBEsol, relaxed)" formation_energy_uncorrected_ev_per_atom=1.211 sg="Pm-3m, No. 221" pbc="T T T"
Ru -2.0519 -0.0888 -0.8372
Si 0.0000 0.0000 0.0000
Ru -0.7135 -0.9871 1.8536
Ru 0.4468 -1.9842 -0.8846
Br -2.3187 -3.0601 0.1318


3.
5
Lattice="-1.8930 4.8480 -0.6615 -3.0018 -1.7107 -3.9481 -4.2478 -1.1500 3.7279" Properties=species:S:1:pos:R:3 comment="YSiRuBr2 (PBEsol, relaxed)" formation_energy_uncorrected_ev_per_atom=0.808 sg="P4/mmm, No. 123" pbc="T T T"
Br -0.9465 2.4240 -0.3307
Ru -4.5713 0.9937 -0.4408
Br -1.5009 -0.8554 -1.9740
Si -2.1239 -0.5750 1.8640
Y 0.0000 0.0000 0.0000


4.
4
Lattice="4.9235 0.0000 0.0000 2.4618 4.2639 0.0000 2.4618 1.4213 4.0200" Properties=species:S:1:pos:R:3 comment="SnRuBr2 (PBEsol, relaxed)" formation_energy_uncorrected_ev_per_atom=0.578 sg="Fm-3m, No. 225" pbc="T T T"
Br 7.3853 4.2639 3.0150
Br 2.4618 1.4213 1.0050
Ru 0.0000 0.0000 0.0000
Sn 4.9235 2.8426 2.0100


5.
4
Lattice="3.8978 0.0000 0.0000 0.0000 4.5519 0.0000 -1.9489 0.0000 5.5392" Properties=species:S:1:pos:R:3 comment="SrRuBr2 (PBEsol, relaxed)" formation_energy_uncorrected_ev_per_atom=-0.416 sg="Amm2, No. 38" pbc="T T T"
Ru 0.0000 0.0000 3.6317
Br 0.0000 2.2759 4.4092
Br 0.0000 0.0000 1.0684
Sr 1.9489 2.2759 2.0828


6.
4
Lattice="3.4896 0.0000 0.0000 0.0000 3.9492 0.0000 -1.7448 -1.9746 7.1219" Properties=species:S:1:pos:R:3 comment="SrRuBr2 (PBEsol, relaxed)" formation_energy_uncorrected_ev_per_atom=-0.328 sg="Imm2, No. 44" pbc="T T T"
Br 0.0000 0.0000 0.2730
Sr 0.0000 1.9746 2.6275
Br 1.7448 0.0000 4.1643
Ru 1.7448 1.9746 0.0571


7.
4
Lattice="3.2705 0.0000 0.0000 0.0000 3.2988 0.0000 -1.6353 0.0000 7.7142" Properties=species:S:1:pos:R:3 comment="SrRu2Br (PBEsol, relaxed)" formation_energy_uncorrected_ev_per_atom=0.127 sg="Amm2, No. 38" pbc="T T T"
Sr 1.6353 0.0000 1.1227
Ru 1.6353 0.0000 4.3694
Ru 0.0000 1.6494 3.4169
Br 1.6353 1.6494 6.8463


8.
4
Lattice="-2.1857 2.6433 -1.4349 0.6763 0.2151 -5.4507 -3.8243 -2.2925 -3.2145" Properties=species:S:1:pos:R:3 comment="SrRu2Br (PBEsol, relaxed)" formation_energy_uncorrected_ev_per_atom=0.441 sg="Imm2, No. 44" pbc="T T T"
Ru -2.2043 2.5522 -1.5744
Br -4.0500 0.1803 -7.9489
Ru -1.2596 0.5038 -1.9701
Sr -2.6724 0.2557 -5.0917